Entry 1:
MgZn4Ni | Alexandria via LeMat-Bulk | PBEsol | relaxed; SG = F-43m, No. 216; ΔE_f = -8.90 kJ per mole of atoms; energy = -14.76 eV/f.u.; spin magnetization = 0.000 Bohr magnetons per cell; crystal system = cubic
1.0
-1.1489 4.7586 0.2146
-2.5686 2.0662 -3.6254
-4.6439 1.3675 0.7581
Ni Zn Mg
1 4 1
Cartesian
0.0000 0.0000 0.0000 Ni
-3.1300 3.0667 -0.9930 Zn
-5.4642 3.7540 -0.6120 Zn
-3.7075 5.4585 -0.8852 Zn
-4.4211 4.1052 -2.8153 Zn
-6.2710 6.1442 -1.9896 Mg

=====

Entry 2:
NbBPd2 | Alexandria via LeMat-Bulk | PBEsol | relaxed; SG = I-42d, No. 122; ΔE_f = 2.23 kJ per mole of atoms; energy = -29.66 eV/f.u.; spin magnetization = 0.000 Bohr magnetons per cell; crystal system = tetragonal
1.0
4.7869 0.0000 0.0000
2.3934 4.8437 0.0000
2.3934 0.0000 4.8437
Nb B Pd
2 2 4
Cartesian
5.9836 2.4218 2.4218 Nb
0.0000 0.0000 0.0000 Nb
3.5902 2.4218 2.4218 B
2.3934 0.0000 0.0000 B
4.1885 4.3799 1.9580 Pd
4.1885 0.4638 2.8856 Pd
2.9918 1.9580 0.4638 Pd
7.7787 2.8856 4.3799 Pd

=====

Entry 3:
Sr2TiW | Alexandria via LeMat-Bulk | PBEsol | relaxed; SG = Fm-3m, No. 225; ΔE_f = 148.78 kJ per mole of atoms; energy = -19.64 eV/f.u.; spin magnetization = 4.149 Bohr magnetons per cell; crystal system = cubic
1.0
5.3171 0.0000 0.0000
2.6585 4.6047 0.0000
2.6585 1.5349 4.3414
Sr W Ti
2 1 1
Cartesian
2.6585 1.5349 1.0853 Sr
7.9756 4.6047 3.2560 Sr
5.3171 3.0698 2.1707 W
0.0000 0.0000 0.0000 Ti